(1)
Density functional theory data (PBE-GGA) for an optimized crystal structure of BeAs2Se.

Cell lengths 6.3138, 3.6456, 10.1798 Å; angles 90.00, 101.78, 90.00 degrees
Closest atoms and distances in Å follow each position.
Space group Cm (No. 8)
Asymmetric unit:
Be 0.0000 0.0000 0.0000  3 Se 2.10
As 0.0161 0.5000 0.5629  3 As 2.52
As 0.3034 0.5000 0.4231  3 As 2.52
Se 0.3330 0.0000 0.9989  3 Be 2.10

Properties
Formation energy without anion corrections ... -290 meV/atom
Polymorph energy (0 for the lowest one) ... 0.000 eV/atom
VASP energy ... -17.7 eV per formula unit
Magnetic moment ... 0.00 μB per cell



(2)
Density functional theory data (PBE-GGA) for an optimized crystal structure of RbTiSnCl6.

Cell lengths 7.0214, 7.0214, 7.0651 Å; angles 90.00, 90.00, 120.00 degrees
Closest atoms and distances in Å follow each position.
Space group P312 (No. 149)
Asymmetric unit:
Rb 0.0000 0.0000 0.0000  6 Cl 3.35
Ti 0.3333 0.6667 0.5000  6 Cl 2.45
Sn 0.6667 0.3333 0.5000  6 Cl 2.84
Cl 0.0421 0.3903 0.2989  1 Ti 2.45

Properties
Formation energy without anion corrections ... -1489 meV/atom
VASP energy ... -37.3 eV per formula unit
Magnetic moment ... 1.00 μB per cell



(3)
Density functional theory data (PBE-GGA) for an optimized crystal structure of CePuInOs.

Cell lengths 3.0917, 3.0917, 9.0251 Å; angles 90.00, 90.00, 90.00 degrees
Closest atoms and distances in Å follow each position.
Space group P4mm (No. 99)
Asymmetric unit:
Ce 0.0000 0.0000 0.0000  4 Os 3.03, 4 Ce 3.09
Pu 0.0000 0.0000 0.5747  4 Os 2.79, 4 Pu 3.09
In 0.5000 0.5000 0.2948  4 In 3.09, 4 Pu 3.34, 4 Ce 3.44
Os 0.5000 0.5000 0.7669  4 Pu 2.79, 4 Ce 3.03, 4 Os 3.09

Properties
ΔE_f ... 4.22 kcal/mol of atoms
VASP energy ... -33.5 eV per formula unit
Magnetic moment ... 0.00 μB per cell



(4)
Density functional theory data (PBE-GGA) for an optimized crystal structure of Pr2Cd3Hg4.

Cell lengths 6.2343, 16.4563, 9.0125 Å; angles 90.00, 90.00, 90.00 degrees
Closest atoms and distances in Å follow each position.
Space group Cmce (No. 64)
Asymmetric unit:
Pr 0.0000 0.1112 0.0825  8 Hg 3.35-3.65, 4 Cd 3.52-3.69
Cd 0.0000 0.0000 0.5000  6 Hg 2.84-3.00
Cd 0.2500 0.2207 0.7500  5 Hg 2.90-3.06, 2 Cd 3.12
Hg 0.0000 0.1813 0.4663  5 Cd 2.97-3.06
Hg 0.2500 0.0445 0.7500  3 Cd 2.84-2.90, 2 Hg 3.12

Properties
Polymorph energy (0 for the lowest one) ... 0.072 eV/atom
ΔE_f ... -6.15 kcal/mol of atoms
VASP energy ... -15.9 eV per formula unit
Magnetic moment ... 0.00 μB per cell



(5)
Density functional theory data (PBE-GGA) for an optimized crystal structure of LiMgB3.

Cell lengths 4.3595, 4.3595, 4.3595 Å; angles 90.00, 90.00, 90.00 degrees
Closest atoms and distances in Å follow each position.
Space group Pm-3m (No. 221)
Asymmetric unit:
Li 0.0000 0.0000 0.0000  12 B 3.08
Mg 0.5000 0.5000 0.5000  6 B 2.18
B 0.0000 0.5000 0.5000  2 Mg 2.18

Properties
Polymorph energy (0 for the lowest one) ... 0.448 eV/atom
ΔE_f ... 46.76 kcal/mol of atoms
VASP energy ... -13.4 eV per formula unit
Magnetic moment ... 0.00 μB per cell



(6)
Density functional theory data (PBE-GGA) for an optimized crystal structure of Mg2MnRh.

Cell lengths 6.3704, 6.3704, 6.3704 Å; angles 90.00, 90.00, 90.00 degrees
Closest atoms and distances in Å follow each position.
Space group F-43m (No. 216)
Asymmetric unit:
Mg 0.0000 0.0000 0.0000  4 Mg 2.76, 4 Rh 2.76
Mg 0.2500 0.2500 0.2500  4 Mn 2.76, 4 Mg 2.76
Mn 0.0000 0.0000 0.5000  4 Mg 2.76, 4 Rh 2.76
Rh 0.2500 0.2500 0.7500  4 Mn 2.76, 4 Mg 2.76

Properties
ΔE_f ... -3.01 kcal/mol of atoms
VASP energy ... -20.2 eV per formula unit
Magnetic moment ... 15.43 μB per cell



Among the records above, which one has the highest magnetic moment? Mg2MnRh



The lowest VASP energy belongs to which entry? RbTiSnCl6



Which value of magnetic moment does entry 2 give? 1.00 μB per cell